Here is a geometry-optimized Rb3Cd3In8 structure from Alexandria via LeMat-Bulk. Energies are from PBE-GGA.

Summary:
DFT formation energy = -0.06 eV/atom
theoretical density = 5.8 g/cm³
magnetic moment = 0.00 μB per formula unit

a = 5.167 Å, b = 11.198 Å, c = 14.973 Å
α = 90.00°, β = 90.00°, γ = 90.00°
Space group Immm (No. 71)
Symmetry-distinct sites (fractional):
Rb (0.000, 0.000, 0.000) [2 per cell]
Rb (0.000, 0.000, 0.296) [4 per cell]
Cd (0.000, 0.184, 0.500) [4 per cell]
Cd (0.000, 0.500, 0.000) [2 per cell]
In (0.000, 0.285, 0.135) [8 per cell]
In (0.000, 0.357, 0.337) [8 per cell]